Record 1
This record from the Open Quantum Materials Database describes crystalline ZrGa2Ni at its relaxed geometry. The functional is GGA-PBE.

Geometry as POSCAR:
```
ZrGa2Ni
1.0
0.000 3.168 3.168
3.168 0.000 3.168
3.168 3.168 0.000
Zr Ga Ni
1 2 1
Cartesian
0.000 0.000 0.000 Zr
3.168 3.168 3.168 Ga
4.751 4.751 4.751 Ga
1.584 1.584 1.584 Ni
```

**Space-group type**: F-43m, No. 216
**ρ**: 7.6 g/cm3
**Total moment**: 0.0 μB/cell



Record 2
This record from the Open Quantum Materials Database describes crystalline ZrGaNi at its relaxed geometry. The functional is GGA-PBE.

Geometry as POSCAR:
```
ZrGaNi
1.0
6.762 0.000 0.000
-3.381 5.856 0.000
0.000 0.000 3.586
Zr Ga Ni
3 3 3
Cartesian
-2.006 3.475 0.000 Zr
1.375 2.382 0.000 Zr
4.012 0.000 0.000 Zr
-0.866 1.500 1.793 Ga
1.732 0.000 1.793 Ga
2.515 4.356 1.793 Ga
0.000 0.000 0.000 Ni
0.000 3.904 1.793 Ni
3.381 1.952 1.793 Ni
```

**Space-group type**: P-62m, No. 189
**ρ**: 7.7 g/cm3
**Total moment**: 0.0 μB/cell



Record 3
This record from the Open Quantum Materials Database describes crystalline ZrGa5Ni2 at its relaxed geometry. The functional is GGA-PBE.

Geometry as POSCAR:
```
ZrGa5Ni2
1.0
4.270 0.000 0.000
0.000 2.870 5.053
0.000 -2.870 5.053
Zr Ga Ni
1 5 2
Cartesian
0.000 0.000 0.000 Zr
0.000 -1.447 2.600 Ga
0.000 1.447 2.600 Ga
2.135 0.000 3.655 Ga
2.135 -1.330 6.012 Ga
2.135 1.330 6.012 Ga
0.000 0.000 5.181 Ni
2.135 0.000 8.340 Ni
```

**Space-group type**: Amm2, No. 38
**ρ**: 7.5 g/cm3
**Total moment**: 0.0 μB/cell



Record 4
This record from the Open Quantum Materials Database describes crystalline ZrGa2Ni at its relaxed geometry. The functional is GGA-PBE.

Geometry as POSCAR:
```
ZrGa2Ni
1.0
4.304 0.000 0.000
0.000 4.899 3.006
0.000 -4.899 3.006
Zr Ga Ni
2 4 2
Cartesian
1.076 -3.468 3.006 Zr
3.228 3.468 3.006 Zr
1.076 -0.849 4.274 Ga
1.076 1.558 2.817 Ga
3.228 -1.558 2.817 Ga
3.228 0.849 4.274 Ga
1.076 -0.803 1.714 Ni
3.228 0.803 1.714 Ni
```

**Space-group type**: Ama2, No. 40
**ρ**: 7.6 g/cm3
**Total moment**: 0.0 μB/cell



no.,VASP energy (eV/cell)
1,-21.4
2,-57.2
3,-36.5
4,-43.8